[1]
# Al3Si3Ni

Al3Si3Ni after structural relaxation (PBE-GGA, Alexandria via LeMat-Bulk).

POSCAR file:
```
Al3Si3Ni
1.0
-3.5042 3.9115 -6.1654
-3.6932 -5.8864 5.5696
-0.9896 2.8848 2.3926
Ni Si Al
2 6 6
Cartesian
-3.9347 -2.2435 2.6475 Ni
-4.2523 3.1533 -0.8506 Ni
-1.1947 0.6584 0.2821 Si
-5.0345 -1.1412 0.8637 Si
-3.5176 -3.7386 4.6227 Si
-6.9923 0.2515 1.5148 Si
-3.1526 2.0510 0.9332 Si
-4.6694 4.6485 -2.8258 Si
-4.9664 2.2552 -3.2032 Al
-4.5210 0.5562 -0.9705 Al
-2.2436 2.0273 -1.8023 Al
-3.2206 -1.3454 5.0001 Al
-3.6661 0.3536 2.7674 Al
-5.9435 -1.1175 3.5991 Al
```

Output
ΔE_f (raw), meV per atom: -40
Symmetry: P2_1/m (11)
E above lowest polymorph, meV/atom: 0
Final energy, Ry per atom: -0.352
Size of the total moment, μB/f.u.: 0.00

---

[2]
# AlSiNi

AlSiNi after structural relaxation (PBE-GGA, Alexandria via LeMat-Bulk).

POSCAR file:
```
AlSiNi
1.0
1.0823 4.1061 -0.5414
-3.8386 -1.3895 -1.2882
-1.9764 1.1359 4.6640
Al Si Ni
2 2 2
Cartesian
-1.0521 2.5582 0.3757 Al
-2.0403 3.1262 2.7076 Al
-2.6923 0.7263 0.1265 Si
-3.6807 1.2943 2.4589 Si
-0.9882 0.5679 2.3320 Ni
0.0000 0.0000 0.0000 Ni
```

Output
ΔE_f (raw), meV per atom: 115
Symmetry: P-6m2 (187)
Final energy, Ry per atom: -0.358
Size of the total moment, μB/f.u.: 0.00

---

[3]
# AlSi5Ni2

AlSi5Ni2 after structural relaxation (PBE-GGA, Alexandria via LeMat-Bulk).

POSCAR file:
```
AlSi5Ni2
1.0
-2.5974 0.3555 5.3527
-4.5873 3.4006 -1.7078
2.5517 -5.3798 -0.2651
Al Si Ni
1 5 2
Cartesian
0.0000 0.0000 0.0000 Al
-0.0228 -2.5122 2.5438 Si
-2.0389 -1.9335 1.0140 Si
-2.5940 0.3097 2.3657 Si
-4.6095 1.3634 3.3882 Si
-0.0234 -2.9872 -0.0085 Si
-1.8394 -1.5625 3.4653 Ni
-2.7936 -0.0612 -0.0856 Ni
```

Output
ΔE_f (raw), meV per atom: -58
Symmetry: Immm (71)
E above lowest polymorph, meV/atom: 0
Final energy, Ry per atom: -0.394
Size of the total moment, μB/f.u.: 0.00

---

[4]
# Al4SiNi

Al4SiNi after structural relaxation (PBE-GGA, Alexandria via LeMat-Bulk).

POSCAR file:
```
Al4SiNi
1.0
2.2892 -3.9649 0.0000
2.2892 3.9649 0.0000
0.0000 0.0000 5.1339
Al Si Ni
4 1 1
Cartesian
2.2892 1.3216 1.2914 Al
2.2892 1.3216 3.8425 Al
2.2892 -1.3216 1.2914 Al
2.2892 -1.3216 3.8425 Al
0.0000 0.0000 0.0000 Si
0.0000 0.0000 2.5670 Ni
```

Output
ΔE_f (raw), meV per atom: 201
Symmetry: P6/mmm (191)
E above lowest polymorph, meV/atom: 344
Final energy, Ry per atom: -0.306
Size of the total moment, μB/f.u.: 0.00

---

[5]
# Al2Si2Ni

Al2Si2Ni after structural relaxation (PBE-GGA, Alexandria via LeMat-Bulk).

POSCAR file:
```
Al2Si2Ni
1.0
5.8210 -0.1329 1.3162
2.2495 -1.1516 5.4081
-3.9599 -2.0526 -3.9673
Al Si Ni
2 2 1
Cartesian
1.1624 -1.9232 2.4014 Al
2.9481 -1.4139 0.3555 Al
4.8807 -0.7768 4.0665 Si
3.1898 -0.5077 2.6577 Si
0.0000 0.0000 0.0000 Ni
```

Output
ΔE_f (raw), meV per atom: 389
Symmetry: I4/mmm (139)
Final energy, Ry per atom: -0.326
Size of the total moment, μB/f.u.: 0.00

---

[6]
# Al6SiNi

Al6SiNi after structural relaxation (PBE-GGA, Alexandria via LeMat-Bulk).

POSCAR file:
```
Al6SiNi
1.0
-2.9703 -2.0225 -1.4857
1.2488 -3.1880 1.8433
-5.2919 2.2632 7.4993
Al Si Ni
6 1 1
Cartesian
-1.5383 -2.3155 1.1390 Al
-5.4752 -0.6318 6.7180 Al
-1.0469 -0.8792 3.2901 Al
-3.1565 -0.2965 1.6256 Al
-2.9962 -0.0456 6.0526 Al
-5.1058 0.5372 4.3881 Al
-2.6460 1.1316 3.7497 Si
0.0000 0.0000 0.0000 Ni
```

Output
ΔE_f (raw), meV per atom: 307
Symmetry: P4/mmm (123)
E above lowest polymorph, meV/atom: 278
Final energy, Ry per atom: -0.287
Size of the total moment, μB/f.u.: 0.00

---

[7]
# AlSiNi2

AlSiNi2 after structural relaxation (PBE-GGA, Alexandria via LeMat-Bulk).

POSCAR file:
```
AlSiNi2
1.0
1.5468 -6.0253 0.0000
1.5468 6.0253 0.0000
0.0000 0.0000 5.3364
Al Si Ni
2 2 4
Cartesian
1.5468 -0.0633 1.3341 Al
1.5468 0.0633 4.0023 Al
1.5468 2.6947 1.3341 Si
1.5468 -2.6947 4.0023 Si
1.5468 4.5842 2.6970 Ni
1.5468 -4.5842 0.0289 Ni
1.5468 4.5842 5.3075 Ni
1.5468 -4.5842 2.6393 Ni
```

Output
ΔE_f (raw), meV per atom: -485
Symmetry: Cmcm (63)
Final energy, Ry per atom: -0.416
Size of the total moment, μB/f.u.: 0.00

---

[8]
# Al5SiNi

Al5SiNi after structural relaxation (PBE-GGA, Alexandria via LeMat-Bulk).

POSCAR file:
```
Al5SiNi
1.0
-1.9037 0.7147 3.2690
3.2207 -0.6293 2.0132
1.7785 7.3056 -0.5616
Al Si Ni
5 1 1
Cartesian
0.6585 0.0427 2.6411 Al
2.0651 1.5536 0.8630 Al
-0.4971 2.2256 1.4909 Al
2.9340 5.1227 0.5886 Al
0.3718 5.7947 1.2166 Al
0.8892 3.6528 -0.2808 Si
0.0000 0.0000 0.0000 Ni
```

Output
ΔE_f (raw), meV per atom: -68
Symmetry: P4/mmm (123)
Final energy, Ry per atom: -0.319
Size of the total moment, μB/f.u.: 0.00

---

[9]
# AlSiNi2

AlSiNi2 after structural relaxation (PBE-GGA, Alexandria via LeMat-Bulk).

POSCAR file:
```
AlSiNi2
1.0
3.8891 0.0000 0.0000
-1.9446 3.3678 -0.0012
0.0000 -0.0031 4.6538
Ni Si Al
2 1 1
Cartesian
1.9445 1.1228 0.3433 Ni
0.0000 2.2422 4.0258 Ni
0.0000 0.0004 0.1808 Si
1.9446 1.1202 2.6386 Al
```

Output
ΔE_f (raw), meV per atom: -193
Symmetry: P3m1 (156)
Final energy, Ry per atom: -0.395
Size of the total moment, μB/f.u.: 0.00

---

[10]
# Al6SiNi12

Al6SiNi12 after structural relaxation (PBE-GGA, Alexandria via LeMat-Bulk).

POSCAR file:
```
Al6SiNi12
1.0
6.6091 -0.8058 -0.9654
-1.7985 6.4106 -0.9654
-1.7985 -2.0954 6.1349
Al Si Ni
6 1 12
Cartesian
1.7599 4.5557 1.0543 Al
3.0583 1.7359 -0.4666 Al
-1.2241 2.9063 1.6246 Al
1.2522 -1.0463 3.1498 Al
-0.0461 1.7734 4.6708 Al
4.2362 0.6031 2.5795 Al
0.0000 0.0000 0.0000 Si
3.0711 2.6129 1.8482 Ni
0.8703 3.2405 2.9011 Ni
2.1171 1.2052 3.7068 Ni
-0.0590 0.8965 2.3560 Ni
2.1418 0.2689 1.3031 Ni
0.8951 2.3042 0.4974 Ni
3.9572 4.0977 -0.0613 Ni
-0.4383 4.3797 -0.2447 Ni
4.3955 -0.2820 0.1833 Ni
-0.9451 -0.5884 4.2655 Ni
3.4504 -0.8703 4.4488 Ni
-1.3833 3.7913 4.0208 Ni
```

Output
ΔE_f (raw), meV per atom: -467
Symmetry: R-3 (148)
Final energy, Ry per atom: -0.411
Size of the total moment, μB/f.u.: 0.00

---

[11]
# Al8Si2Ni

Al8Si2Ni after structural relaxation (PBE-GGA, Alexandria via LeMat-Bulk).

POSCAR file:
```
Al8Si2Ni
1.0
-0.3132 2.4925 3.0477
-3.3780 1.4004 -1.4924
-5.6996 -7.6793 5.6948
Al Ni Si
8 1 2
Cartesian
-4.5388 -3.1395 2.1012 Al
-3.0064 -2.5934 4.3712 Al
-3.6153 -0.4379 2.5458 Al
-5.7755 -3.3484 4.7042 Al
-2.4202 -0.2850 -0.0157 Al
-0.8878 0.2611 2.2544 Al
-6.6574 -5.9939 4.2180 Al
-5.1250 -5.4479 6.4880 Al
0.0000 0.0000 0.0000 Ni
-1.8636 -2.5110 1.8621 Si
-3.8359 -5.1683 3.8327 Si
```

Output
ΔE_f (raw), meV per atom: -40
Symmetry: P4/mmm (123)
Final energy, Ry per atom: -0.314
Size of the total moment, μB/f.u.: 0.00

---

[12]
# AlSiNi

AlSiNi after structural relaxation (PBE-GGA, Alexandria via LeMat-Bulk).

POSCAR file:
```
AlSiNi
1.0
-2.2914 5.2958 2.2961
-3.6158 1.0041 -2.8066
-4.9911 -1.7577 3.2509
Al Ni Si
4 4 4
Cartesian
-6.0862 3.8720 3.8078 Al
-8.4535 2.4396 1.7061 Al
-4.8121 0.6702 -1.0674 Al
-2.4448 2.1026 1.0343 Al
-4.1418 2.9641 2.6005 Ni
-5.4914 -0.5627 3.0781 Ni
-6.7566 1.5781 0.1399 Ni
-5.4070 5.1049 -0.3377 Ni
-5.9915 3.4972 1.3069 Si
-7.3409 -0.0296 1.7842 Si
-4.9068 1.0450 1.4336 Si
-3.5574 4.5718 0.9562 Si
```

Output
ΔE_f (raw), meV per atom: -417
Symmetry: P2_1/m (11)
Final energy, Ry per atom: -0.397
Size of the total moment, μB/f.u.: 0.00

---

[13]
# AlSi4Ni

AlSi4Ni after structural relaxation (PBE-GGA, Alexandria via LeMat-Bulk).

POSCAR file:
```
AlSi4Ni
1.0
-2.1733 1.9192 -2.7186
-2.4873 -1.5129 2.7058
0.4315 5.0502 3.2203
Al Si Ni
1 4 1
Cartesian
-2.2532 1.2135 3.9979 Al
-1.9688 4.3883 1.2307 Si
-2.1422 2.3591 -0.0633 Si
-2.0356 3.6950 3.5433 Si
-2.3027 0.5686 1.5497 Si
-2.2007 1.6200 -2.2457 Ni
```

Output
ΔE_f (raw), meV per atom: 150
Symmetry: Amm2 (38)
E above lowest polymorph, meV/atom: 106
Final energy, Ry per atom: -0.371
Size of the total moment, μB/f.u.: 0.00

---

[14]
# AlSiNi

AlSiNi after structural relaxation (PBE-GGA, Alexandria via LeMat-Bulk).

POSCAR file:
```
AlSiNi
1.0
6.8519 0.0000 -0.0107
0.0000 3.3396 0.0000
-4.4125 0.0000 7.2107
Ni Si Al
4 4 4
Cartesian
-0.8492 0.0000 6.8253 Ni
1.3571 1.6698 3.2200 Ni
4.7775 0.0000 1.8034 Ni
2.5713 1.6698 5.4087 Ni
-3.2710 0.0000 6.6732 Si
-1.0647 1.6698 3.0679 Si
3.0368 0.0000 3.5623 Si
0.8305 1.6698 7.1676 Si
0.4076 0.0000 1.7715 Al
-1.7987 1.6698 5.3768 Al
0.6628 0.0000 4.9326 Al
2.8691 1.6698 1.3272 Al
```

Output
ΔE_f (raw), meV per atom: -357
Symmetry: Cm (8)
Final energy, Ry per atom: -0.392
Size of the total moment, μB/f.u.: 0.00

---

[15]
# Al2Si5Ni

Al2Si5Ni after structural relaxation (PBE-GGA, Alexandria via LeMat-Bulk).

POSCAR file:
```
Al2Si5Ni
1.0
4.3088 -4.7550 4.1632
-0.8100 -6.9251 3.1458
-0.7736 4.6494 -6.0244
Al Si Ni
2 5 1
Cartesian
0.8899 -2.9708 1.8590 Al
2.6089 -8.7092 5.4499 Al
1.7494 -5.8400 3.6545 Si
-0.3882 -2.4850 -0.5963 Si
2.1712 -1.4000 -0.0876 Si
3.1135 -4.5457 1.8809 Si
0.5541 -5.6307 1.3722 Si
0.0000 0.0000 0.0000 Ni
```

Output
ΔE_f (raw), meV per atom: 211
Symmetry: I4/mmm (139)
E above lowest polymorph, meV/atom: 56
Final energy, Ry per atom: -0.356
Size of the total moment, μB/f.u.: 0.00

---

[16]
# AlSiNi2

AlSiNi2 after structural relaxation (PBE-GGA, Alexandria via LeMat-Bulk).

POSCAR file:
```
AlSiNi2
1.0
-0.2306 -2.6943 3.2678
-1.5078 -3.2620 -2.7959
4.8843 -1.4959 -0.8888
Al Si Ni
2 2 4
Cartesian
2.7701 -4.1518 -0.4749 Al
0.3758 -3.3004 0.0582 Al
3.3371 -1.8274 -1.2713 Si
0.0393 -2.9305 -2.4134 Si
-0.1153 -1.3472 1.6339 Ni
2.3269 -2.0951 1.1895 Ni
2.5521 -3.5258 -2.7269 Ni
0.8244 -1.2322 -0.9577 Ni
```

Output
ΔE_f (raw), meV per atom: -269
Symmetry: Pmma (51)
Final energy, Ry per atom: -0.401
Size of the total moment, μB/f.u.: 0.00

---

[17]
# AlSiNi2

AlSiNi2 after structural relaxation (PBE-GGA, Alexandria via LeMat-Bulk).

POSCAR file:
```
AlSiNi2
1.0
5.4845 0.0000 0.0000
0.0000 6.5255 0.0000
0.0000 0.0000 5.4891
Al Ni Si
4 8 4
Cartesian
3.8267 4.8942 0.1414 Al
1.0844 1.6314 2.6032 Al
1.6579 1.6314 5.3478 Al
4.4001 4.8942 2.8859 Al
0.2344 6.2000 1.2564 Ni
2.9767 0.3255 1.4882 Ni
5.2501 2.9372 4.2328 Ni
2.5079 3.5883 4.0010 Ni
5.2501 0.3255 4.2328 Ni
2.5079 6.2000 4.0010 Ni
0.2344 3.5883 1.2564 Ni
2.9767 2.9372 1.4882 Ni
1.8987 4.8942 2.1391 Si
4.6410 1.6314 0.6054 Si
3.5859 1.6314 3.3500 Si
0.8436 4.8942 4.8837 Si
```

Output
ΔE_f (raw), meV per atom: -531
Symmetry: Pnma (62)
Final energy, Ry per atom: -0.420
Size of the total moment, μB/f.u.: 0.00

---

[18]
# AlSi2Ni4

AlSi2Ni4 after structural relaxation (PBE-GGA, Alexandria via LeMat-Bulk).

POSCAR file:
```
AlSi2Ni4
1.0
4.7996 0.0000 0.0000
0.0000 9.0421 1.2163
0.0000 -0.5167 3.8519
Ni Si Al
8 4 2
Cartesian
0.7930 0.7413 2.0600 Ni
1.6068 5.2624 2.6681 Ni
4.0066 7.7841 3.0083 Ni
3.1928 3.2630 2.4001 Ni
4.3686 2.3909 0.3224 Ni
0.4310 6.1346 4.7459 Ni
1.9688 1.6135 4.1377 Ni
2.8308 6.9119 0.9305 Ni
0.7314 3.0602 2.3719 Si
1.6684 7.5813 2.9801 Si
4.0682 5.4652 2.6963 Si
3.1313 0.9441 2.0881 Si
0.0000 0.0000 0.0000 Al
2.3998 4.5211 0.6082 Al
```

Output
ΔE_f (raw), meV per atom: -444
Symmetry: Pbam (55)
E above lowest polymorph, meV/atom: 86
Final energy, Ry per atom: -0.429
Size of the total moment, μB/f.u.: 0.00

---

[19]
# AlSiNi5

AlSiNi5 after structural relaxation (PBE-GGA, Alexandria via LeMat-Bulk).

POSCAR file:
```
AlSiNi5
1.0
3.4990 0.0000 0.0000
0.0000 3.4990 0.0000
0.0000 0.0000 6.9465
Al Si Ni
1 1 5
Cartesian
0.0000 0.0000 3.4732 Al
0.0000 0.0000 0.0000 Si
1.7495 1.7495 0.0000 Ni
0.0000 1.7495 1.7342 Ni
1.7495 0.0000 1.7342 Ni
0.0000 1.7495 5.2123 Ni
1.7495 0.0000 5.2123 Ni
```

Output
ΔE_f (raw), meV per atom: -235
Symmetry: P4/mmm (123)
E above lowest polymorph, meV/atom: 122
Final energy, Ry per atom: -0.417
Size of the total moment, μB/f.u.: 0.00

---

[20]
# AlSiNi2

AlSiNi2 after structural relaxation (PBE-GGA, Alexandria via LeMat-Bulk).

POSCAR file:
```
AlSiNi2
1.0
2.0001 -3.4643 0.0000
2.0001 3.4643 0.0000
0.0000 0.0000 7.0914
Al Si Ni
2 2 4
Cartesian
0.0000 0.0000 0.0000 Al
0.0000 0.0000 3.5457 Al
2.0001 -1.1548 1.7729 Si
2.0001 1.1548 5.3186 Si
2.0001 -1.1548 4.1254 Ni
2.0001 1.1548 0.5797 Ni
2.0001 1.1548 2.9661 Ni
2.0001 -1.1548 6.5118 Ni
```

Output
ΔE_f (raw), meV per atom: -461
Symmetry: P6_3/mmc (194)
Final energy, Ry per atom: -0.415
Size of the total moment, μB/f.u.: 0.00